VASP calculation (PBE+U) on a geometry-optimized CoReF6 structure.

Cell and atoms, written as CIF:
```
data_CoReF6
_chemical_formula_sum 'Co2 Re2 F12'
_symmetry_space_group_name_H-M 'C 1 2/m 1'
_symmetry_Int_Tables_number 12
_cell_length_a 9.368
_cell_length_b 5.713
_cell_length_c 5.400
_cell_angle_alpha 90.00
_cell_angle_beta 124.45
_cell_angle_gamma 90.00
loop_
_symmetry_equiv_pos_as_xyz
'x,y,z'
'-x,-y,-z'
'-x,y,-z'
'x,-y,z'
'x+1/2,y+1/2,z'
'-x+1/2,-y+1/2,-z'
'-x+1/2,y+1/2,-z'
'x+1/2,-y+1/2,z'
loop_
_atom_site_label
_atom_site_type_symbol
_atom_site_fract_x
_atom_site_fract_y
_atom_site_fract_z
Co1 Co 0.000 0.000 0.000
Re1 Re 0.000 0.500 0.500
F1 F 0.057 0.254 0.310
F2 F 0.244 0.500 0.856
```

Output
calculated volume: 14.89 A^3/atom
final energy: -5.65 eV per atom

***

VASP calculation (PBE+U) on a geometry-optimized CoReF2 structure.

Cell and atoms, written as CIF:
```
data_CoReF2
_chemical_formula_sum 'Co3 Re3 F6'
_symmetry_space_group_name_H-M 'R -3 m'
_symmetry_Int_Tables_number 166
_symmetry_space_group_name_Hall '-R 3 2"'
_cell_length_a 2.6973
_cell_length_b 2.6973
_cell_length_c 26.0109
_cell_angle_alpha 90.00
_cell_angle_beta 90.00
_cell_angle_gamma 120.00
loop_
_atom_site_label
_atom_site_type_symbol
_atom_site_fract_x
_atom_site_fract_y
_atom_site_fract_z
Co1 Co 0.0000 0.0000 0.0000
Re1 Re 0.0000 0.0000 0.5000
F1 F 0.0000 0.0000 0.0675
```

Output
calculated volume: 13.66 A^3/atom
E above lowest polymorph: 1.91 eV per formula unit
final energy: -5.61 eV per atom

***

VASP calculation (PBE+U) on a geometry-optimized CoReRu2F structure.

Cell and atoms, written as CIF:
```
data_CoReRu2F
_chemical_formula_sum 'Co1 Re1 Ru2 F1'
_symmetry_space_group_name_H-M 'P 4/m m m'
_symmetry_Int_Tables_number 123
_symmetry_space_group_name_Hall '-P 4 2'
_cell_length_a 4.238
_cell_length_b 4.238
_cell_length_c 3.985
_cell_angle_alpha 90.00
_cell_angle_beta 90.00
_cell_angle_gamma 90.00
loop_
_atom_site_label
_atom_site_type_symbol
_atom_site_fract_x
_atom_site_fract_y
_atom_site_fract_z
Co1 Co 0.000 0.000 0.000
Re1 Re 0.500 0.500 0.000
Ru1 Ru 0.000 0.500 0.500
F1 F 0.500 0.500 0.500
```

Output
calculated volume: 14.31 A^3/atom
final energy: -6.29 eV per atom

***

VASP calculation (PBE+U) on a geometry-optimized CoReSb2F structure.

Cell and atoms, written as CIF:
```
data_CoReSb2F
_chemical_formula_sum 'Co1 Re1 Sb2 F1'
_symmetry_space_group_name_H-M 'P 4/m m m'
_symmetry_Int_Tables_number 123
_symmetry_space_group_name_Hall '-P 4 2'
_cell_length_a 5.250
_cell_length_b 5.250
_cell_length_c 3.979
_cell_angle_alpha 90.00
_cell_angle_beta 90.00
_cell_angle_gamma 90.00
loop_
_atom_site_label
_atom_site_type_symbol
_atom_site_fract_x
_atom_site_fract_y
_atom_site_fract_z
Co1 Co 0.000 0.000 0.000
Re1 Re 0.500 0.500 0.500
Sb1 Sb 0.000 0.500 0.500
F1 F 0.500 0.500 0.000
```

Output
calculated volume: 21.93 A^3/atom
final energy: -5.22 eV per atom

***

VASP calculation (PBE+U) on a geometry-optimized Sc2CoReF structure.

Cell and atoms, written as CIF:
```
data_Sc2CoReF
_chemical_formula_sum 'Sc2 Co1 Re1 F1'
_symmetry_space_group_name_H-M 'P 4/m m m'
_symmetry_Int_Tables_number 123
_symmetry_space_group_name_Hall '-P 4 2'
_cell_length_a 4.945
_cell_length_b 4.945
_cell_length_c 4.215
_cell_angle_alpha 90.00
_cell_angle_beta 90.00
_cell_angle_gamma 90.00
loop_
_atom_site_label
_atom_site_type_symbol
_atom_site_fract_x
_atom_site_fract_y
_atom_site_fract_z
Sc1 Sc 0.000 0.500 0.000
Co1 Co 0.000 0.000 0.000
Re1 Re 0.000 0.000 0.500
F1 F 0.500 0.500 0.500
```

Output
calculated volume: 20.62 A^3/atom
final energy: -6.14 eV per atom

***

VASP calculation (PBE+U) on a geometry-optimized ZnCoRe2F structure.

Cell and atoms, written as CIF:
```
data_ZnCoRe2F
_chemical_formula_sum 'Zn1 Co1 Re2 F1'
_symmetry_space_group_name_H-M 'P 4/m m m'
_symmetry_Int_Tables_number 123
_symmetry_space_group_name_Hall '-P 4 2'
_cell_length_a 4.581
_cell_length_b 4.581
_cell_length_c 3.576
_cell_angle_alpha 90.00
_cell_angle_beta 90.00
_cell_angle_gamma 90.00
loop_
_atom_site_label
_atom_site_type_symbol
_atom_site_fract_x
_atom_site_fract_y
_atom_site_fract_z
Zn1 Zn 0.000 0.000 0.000
Co1 Co 0.500 0.500 0.500
Re1 Re 0.000 0.500 0.500
F1 F 0.500 0.500 0.000
```

Output
calculated volume: 15.01 A^3/atom
final energy: -5.33 eV per atom

***

VASP calculation (PBE+U) on a geometry-optimized Co2RhF2 structure.

Cell and atoms, written as CIF:
```
data_Co2RhF2
_chemical_formula_sum 'Co4 Rh2 F4'
_symmetry_space_group_name_H-M 'I 4/m m m'
_symmetry_Int_Tables_number 139
_symmetry_space_group_name_Hall '-I 4 2'
_cell_length_a 3.327
_cell_length_b 3.327
_cell_length_c 10.974
_cell_angle_alpha 90.00
_cell_angle_beta 90.00
_cell_angle_gamma 90.00
loop_
_atom_site_label
_atom_site_type_symbol
_atom_site_fract_x
_atom_site_fract_y
_atom_site_fract_z
Co1 Co 0.000 0.000 0.128
Rh1 Rh 0.000 0.000 0.500
F1 F 0.000 0.500 0.250
```

Output
calculated volume: 12.15 A^3/atom
E above lowest polymorph: 0.00 eV per formula unit
final energy: -4.97 eV per atom

***

VASP calculation (PBE+U) on a geometry-optimized CoRhF6 structure.

Cell and atoms, written as CIF:
```
data_CoRhF6
_chemical_formula_sum 'Co1 Rh1 F6'
_symmetry_space_group_name_H-M 'P 3 1 2'
_symmetry_Int_Tables_number 149
_cell_length_a 4.9334
_cell_length_b 4.9334
_cell_length_c 4.6527
_cell_angle_alpha 90.00
_cell_angle_beta 90.00
_cell_angle_gamma 120.00
loop_
_symmetry_equiv_pos_as_xyz
'x,y,z'
'-y,x-y,z'
'-x+y,-x,z'
'-y,-x,-z'
'-x+y,y,-z'
'x,x-y,-z'
loop_
_atom_site_label
_atom_site_type_symbol
_atom_site_fract_x
_atom_site_fract_y
_atom_site_fract_z
Co1 Co 0.0000 0.0000 0.0000
Rh1 Rh 0.6667 0.3333 0.5000
F1 F 0.3411 0.0123 0.7465
```

Output
calculated volume: 12.26 A^3/atom
final energy: -4.67 eV per atom

***

VASP calculation (PBE+U) on a geometry-optimized CoRh3F structure.

Cell and atoms, written as CIF:
```
data_CoRh3F
_chemical_formula_sum 'Co1 Rh3 F1'
_symmetry_space_group_name_H-M 'P m -3 m'
_symmetry_Int_Tables_number 221
_symmetry_space_group_name_Hall '-P 4 2 3'
_cell_length_a 4.520
_cell_length_b 4.520
_cell_length_c 4.520
_cell_angle_alpha 90.00
_cell_angle_beta 90.00
_cell_angle_gamma 90.00
loop_
_atom_site_label
_atom_site_type_symbol
_atom_site_fract_x
_atom_site_fract_y
_atom_site_fract_z
Co1 Co 0.000 0.000 0.000
Rh1 Rh 0.000 0.000 0.500
F1 F 0.500 0.500 0.500
```

Output
calculated volume: 18.47 A^3/atom
E above lowest polymorph: 1.91 eV per formula unit
final energy: -4.60 eV per atom

***

VASP calculation (PBE+U) on a geometry-optimized CoRhF2 structure.

Cell and atoms, written as CIF:
```
data_CoRhF2
_chemical_formula_sum 'Co4 Rh4 F8'
_symmetry_space_group_name_H-M 'F m -3 m'
_symmetry_Int_Tables_number 225
_symmetry_space_group_name_Hall '-F 4 2 3'
_cell_length_a 5.831
_cell_length_b 5.831
_cell_length_c 5.831
_cell_angle_alpha 90.00
_cell_angle_beta 90.00
_cell_angle_gamma 90.00
loop_
_atom_site_label
_atom_site_type_symbol
_atom_site_fract_x
_atom_site_fract_y
_atom_site_fract_z
Co1 Co 0.000 0.000 0.000
Rh1 Rh 0.000 0.000 0.500
F1 F 0.250 0.250 0.250
```

Output
calculated volume: 12.39 A^3/atom
E above lowest polymorph: 2.48 eV per formula unit
final energy: -4.33 eV per atom

***

VASP calculation (PBE+U) on a geometry-optimized Co3RhF structure.

Cell and atoms, written as CIF:
```
data_Co3RhF
_chemical_formula_sum 'Co3 Rh1 F1'
_symmetry_space_group_name_H-M 'P m -3 m'
_symmetry_Int_Tables_number 221
_symmetry_space_group_name_Hall '-P 4 2 3'
_cell_length_a 4.748
_cell_length_b 4.748
_cell_length_c 4.748
_cell_angle_alpha 90.00
_cell_angle_beta 90.00
_cell_angle_gamma 90.00
loop_
_atom_site_label
_atom_site_type_symbol
_atom_site_fract_x
_atom_site_fract_y
_atom_site_fract_z
Co1 Co 0.000 0.000 0.500
Rh1 Rh 0.000 0.000 0.000
F1 F 0.500 0.500 0.500
```

Output
calculated volume: 21.41 A^3/atom
final energy: -3.93 eV per atom

***

VASP calculation (PBE+U) on a geometry-optimized CoRh2F structure.

Cell and atoms, written as CIF:
```
data_CoRh2F
_chemical_formula_sum 'Co4 Rh8 F4'
_symmetry_space_group_name_H-M 'I -4 2 d'
_symmetry_Int_Tables_number 122
_symmetry_space_group_name_Hall 'I -4 2bw'
_cell_length_a 6.547
_cell_length_b 6.547
_cell_length_c 5.262
_cell_angle_alpha 90.00
_cell_angle_beta 90.00
_cell_angle_gamma 90.00
loop_
_atom_site_label
_atom_site_type_symbol
_atom_site_fract_x
_atom_site_fract_y
_atom_site_fract_z
Co1 Co 0.000 0.000 0.000
Rh1 Rh 0.229 0.250 0.625
F1 F 0.000 0.000 0.500
```

Output
calculated volume: 14.10 A^3/atom
E above lowest polymorph: 0.28 eV per formula unit
final energy: -5.10 eV per atom

***

VASP calculation (PBE+U) on a geometry-optimized CoRhF2 structure.

Cell and atoms, written as CIF:
```
data_CoRhF2
_chemical_formula_sum 'Co4 Rh4 F8'
_symmetry_space_group_name_H-M 'I -4 2 d'
_symmetry_Int_Tables_number 122
_symmetry_space_group_name_Hall 'I -4 2bw'
_cell_length_a 5.220
_cell_length_b 5.220
_cell_length_c 9.211
_cell_angle_alpha 90.00
_cell_angle_beta 90.00
_cell_angle_gamma 90.00
loop_
_atom_site_label
_atom_site_type_symbol
_atom_site_fract_x
_atom_site_fract_y
_atom_site_fract_z
Co1 Co 0.000 0.000 0.000
Rh1 Rh 0.000 0.000 0.500
F1 F 0.174 0.250 0.125
```

Output
calculated volume: 15.69 A^3/atom
E above lowest polymorph: 1.61 eV per formula unit
final energy: -4.54 eV per atom

***

Calculated values (μB per formula unit) of total moment for the records, taken in order: 6.00; 3.43; 2.83; 1.83; 1.06; 0.04; 6.29; 4.03; 6.33; 4.35; 7.87; 5.02; 4.32.
Calculated values (g/cm3) of calculated density for the records, taken in order: 5.01; 8.61; 10.82; 7.69; 5.70; 11.41; 7.08; 4.67; 6.95; 6.69; 4.63; 8.36; 5.29.